The following is a PBE calculation of a relaxed structure of TiAl3N, from Alexandria via LeMat-Bulk.

```
5
Lattice="4.102 0.000 0.000 0.000 4.102 0.000 0.000 0.000 4.102" Properties=species:S:1:pos:R:3 pbc="T T T"
Ti 0.000 0.000 0.000
Al 0.000 2.051 2.051
Al 2.051 0.000 2.051
Al 2.051 2.051 0.000
N 2.051 2.051 2.051
```

Output
magnetic moment = 1.8 μB per formula unit
total DFT energy (no corrections) = -5.508 eV/atom
raw formation energy = -19 meV/atom
distance to the lowest polymorph of the same formula = 0 meV per atom